1.
{
  "formula": "La2RhW",
  "functional": "PBE",
  "state": "optimized geometry",
  "delta_e_f_ev_per_atom": 0.372,
  "magmom_total_mub_per_fu": 0.00,
  "space_group": "I-4m2, No. 119",
  "lattice": [[-2.0989, 2.0989, 5.2264], [2.0989, -2.0989, 5.2264], [2.0989, 2.0989, -5.2264]],
  "species": ["La", "La", "W", "Rh"],
  "frac_coords": [[0.0000, 0.0000, 0.0000], [0.2500, 0.7500, 0.5000], [0.7500, 0.2500, 0.5000], [0.5000, 0.5000, 0.0000]]
}

2.
{
  "formula": "LaRhW2",
  "functional": "PBE",
  "state": "optimized geometry",
  "delta_e_f_ev_per_atom": 0.502,
  "magmom_total_mub_per_fu": 0.00,
  "space_group": "R3m, No. 160",
  "lattice": [[10.2056, -1.4483, -0.0042], [10.2056, 1.4483, -0.0042], [10.0011, 0.0000, 2.4959]],
  "species": ["W", "W", "La", "Rh"],
  "frac_coords": [[0.9955, 0.9955, 0.9955], [0.7409, 0.7409, 0.7409], [0.5028, 0.5028, 0.5028], [0.2608, 0.2608, 0.2608]]
}

3.
{
  "formula": "LaRhW2",
  "functional": "PBE",
  "state": "optimized geometry",
  "delta_e_f_ev_per_atom": 0.415,
  "magmom_total_mub_per_fu": 0.00,
  "space_group": "F-43m, No. 216",
  "lattice": [[0.0000, 3.3424, 3.3424], [3.3424, 0.0000, 3.3424], [3.3424, 3.3424, 0.0000]],
  "species": ["W", "W", "Rh", "La"],
  "frac_coords": [[0.7500, 0.7500, 0.7500], [0.0000, 0.0000, 0.0000], [0.2500, 0.2500, 0.2500], [0.5000, 0.5000, 0.5000]]
}

4.
{
  "formula": "LaRhW2",
  "functional": "PBE",
  "state": "optimized geometry",
  "delta_e_f_ev_per_atom": 0.469,
  "magmom_total_mub_per_fu": 0.00,
  "space_group": "Pmmm, No. 47",
  "lattice": [[-1.2235, -2.8879, -0.4409], [3.2656, -1.7923, 2.6772], [-3.0989, 0.6676, 4.2270]],
  "species": ["W", "W", "La", "Rh"],
  "frac_coords": [[0.0000, 0.0000, 0.0000], [0.5000, 0.5000, 0.0000], [0.5000, 0.0000, 0.5000], [0.0000, 0.5000, 0.5000]]
}

5.
{
  "formula": "LaRhW2",
  "functional": "PBE",
  "state": "optimized geometry",
  "delta_e_f_ev_per_atom": 0.539,
  "magmom_total_mub_per_fu": 0.00,
  "space_group": "P4/mmm, No. 123",
  "lattice": [[3.3762, 0.0000, 0.0000], [0.0000, 3.3762, 0.0000], [0.0000, 0.0000, 7.1895]],
  "species": ["La", "Rh", "W", "W"],
  "frac_coords": [[0.5000, 0.5000, 0.0000], [0.5000, 0.5000, 0.5000], [0.0000, 0.0000, 0.6700], [0.0000, 0.0000, 0.3300]]
}

6.
{
  "formula": "La2RhW",
  "functional": "PBE",
  "state": "optimized geometry",
  "delta_e_f_ev_per_atom": 0.322,
  "magmom_total_mub_per_fu": 0.00,
  "space_group": "Fm-3m, No. 225",
  "lattice": [[0.0000, 3.6048, 3.6048], [3.6048, 0.0000, 3.6048], [3.6048, 3.6048, 0.0000]],
  "species": ["Rh", "W", "La", "La"],
  "frac_coords": [[0.0000, 0.0000, 0.0000], [0.5000, 0.5000, 0.5000], [0.2500, 0.2500, 0.2500], [0.7500, 0.7500, 0.7500]]
}

7.
{
  "formula": "LaRhW2",
  "functional": "PBE",
  "state": "optimized geometry",
  "delta_e_f_ev_per_atom": 0.711,
  "magmom_total_mub_per_fu": 0.00,
  "space_group": "Fm-3m, No. 225",
  "lattice": [[0.0000, 3.2937, 3.2937], [3.2937, 0.0000, 3.2937], [3.2937, 3.2937, 0.0000]],
  "species": ["W", "W", "La", "Rh"],
  "frac_coords": [[0.2500, 0.2500, 0.2500], [0.7500, 0.7500, 0.7500], [0.5000, 0.5000, 0.5000], [0.0000, 0.0000, 0.0000]]
}

8.
{
  "formula": "La2RhW",
  "functional": "PBE",
  "state": "optimized geometry",
  "delta_e_f_ev_per_atom": 0.105,
  "magmom_total_mub_per_fu": 0.00,
  "space_group": "P4mm, No. 99",
  "lattice": [[-1.4286, -2.0268, -2.0293], [2.6639, -0.0974, -1.7780], [3.1438, -7.3344, 5.1122]],
  "species": ["La", "La", "Rh", "W"],
  "frac_coords": [[0.0000, 0.0000, 0.9377], [0.5000, 0.5000, 0.3120], [0.0000, 0.0000, 0.5542], [0.5000, 0.5000, 0.6961]]
}

no.,energy relative to the lowest polymorph listed for this composition (meV/atom)
1,323
2,311
3,224
4,278
5,349
6,273
7,520
8,56